Entry 1:
VASP calculation (PBE-GGA) on a geometry-optimized Na3YSi6O15 structure.

Calculated values
Formation energy from raw total energies ... -2744 meV/atom
Space group ... Cmce (64)

```
Na3YSi6O15
1.0
7.4478 -8.9744 0.0000
7.4478 8.9744 0.0000
0.0000 0.0000 10.6264
Na Y Si O
12 4 24 60
direct
0.0287 0.4713 0.7500
0.0720 0.9280 0.7503
0.2387 0.2387 0.0000
0.2613 0.2613 0.5000
0.4280 0.5720 0.2503
0.4713 0.0287 0.2500
0.5287 0.9713 0.7500
0.5720 0.4280 0.7497
0.7387 0.7387 0.5000
0.7613 0.7613 0.0000
0.9280 0.0720 0.2497
0.9713 0.5287 0.2500
0.1592 0.3408 0.2500
0.3408 0.1592 0.7500
0.6592 0.8408 0.2500
0.8408 0.6592 0.7500
0.0278 0.1901 0.8003
0.0293 0.7603 0.4800
0.0849 0.7050 0.9648
0.1901 0.0278 0.1997
0.2050 0.5849 0.4648
0.2397 0.9707 0.4800
0.2603 0.5293 0.9800
0.2950 0.9151 0.9648
0.3099 0.4722 0.6997
0.4151 0.7950 0.4648
0.4707 0.7397 0.9800
0.4722 0.3099 0.3003
0.5278 0.6901 0.6997
0.5293 0.2603 0.0200
0.5849 0.2050 0.5352
0.6901 0.5278 0.3003
0.7050 0.0849 0.0352
0.7397 0.4707 0.0200
0.7603 0.0293 0.5200
0.7950 0.4151 0.5352
0.8099 0.9722 0.8003
0.9151 0.2950 0.0352
0.9707 0.2397 0.5200
0.9722 0.8099 0.1997
0.0017 0.7220 0.0875
0.0116 0.6565 0.8428
0.0128 0.2628 0.6690
0.0683 0.9317 0.2015
0.0779 0.2523 0.4249
0.1072 0.8928 0.4942
0.1145 0.6672 0.5136
0.1538 0.1565 0.8188
0.1565 0.1538 0.1812
0.1565 0.5116 0.3428
0.1655 0.8345 0.9322
0.1672 0.6145 0.0136
0.2220 0.5017 0.5875
0.2372 0.4872 0.8310
0.2477 0.4221 0.0751
0.2523 0.0779 0.5751
0.2628 0.0128 0.3310
0.2780 0.9983 0.0875
0.3328 0.8855 0.5136
0.3345 0.6655 0.4322
0.3435 0.3462 0.6812
0.3435 0.9884 0.8428
0.3462 0.3435 0.3188
0.3855 0.8328 0.0136
0.3928 0.6072 0.9942
0.4221 0.2477 0.9249
0.4317 0.5683 0.7015
0.4872 0.2372 0.1690
0.4884 0.8435 0.3428
0.4983 0.7780 0.5875
0.5017 0.2220 0.4125
0.5116 0.1565 0.6572
0.5128 0.7628 0.8310
0.5683 0.4317 0.2985
0.5779 0.7523 0.0751
0.6072 0.3928 0.0058
0.6145 0.1672 0.9864
0.6538 0.6565 0.6812
0.6565 0.0116 0.1572
0.6565 0.6538 0.3188
0.6655 0.3345 0.5678
0.6672 0.1145 0.4864
0.7220 0.0017 0.9125
0.7372 0.9872 0.6690
0.7477 0.9221 0.4249
0.7523 0.5779 0.9249
0.7628 0.5128 0.1690
0.7780 0.4983 0.4125
0.8328 0.3855 0.9864
0.8345 0.1655 0.0678
0.8435 0.4884 0.6572
0.8435 0.8462 0.8188
0.8462 0.8435 0.1812
0.8855 0.3328 0.4864
0.8928 0.1072 0.5058
0.9221 0.7477 0.5751
0.9317 0.0683 0.7985
0.9872 0.7372 0.3310
0.9884 0.3435 0.1572
0.9983 0.2780 0.9125
```


Entry 2:
VASP calculation (PBE-GGA) on a geometry-optimized CaMgMn structure.

Calculated values
DFT total energy ... -10.05 eV per cell
Space group ... F-43m (216)

```
CaMgMn
1.0
0.0000 3.6070 3.6070
3.6070 0.0000 3.6070
3.6070 3.6070 0.0000
Ca Mg Mn
1 1 1
direct
0.0000 0.0000 0.0000
0.2500 0.2500 0.2500
0.7500 0.7500 0.7500
```


Entry 3:
VASP calculation (PBE-GGA) on a geometry-optimized Pm7Er3Tl structure.

Calculated values
DFT total energy ... -47.82 eV per cell
Space group ... P3m1 (156)

```
Pm7Er3Tl
1.0
7.0644 0.0000 0.0000
-3.5322 6.1180 0.0000
0.0000 0.0000 8.5836
Pm Er Tl
7 3 1
direct
0.0000 0.0000 0.0000
0.1640 0.3279 0.6599
0.1640 0.8360 0.6599
0.5020 0.0039 0.9928
0.5020 0.4980 0.9928
0.6721 0.8360 0.6599
0.9961 0.4980 0.9928
0.3318 0.1659 0.3282
0.8341 0.1659 0.3282
0.8341 0.6682 0.3282
0.6667 0.3333 0.6491
```


Entry 4:
VASP calculation (PBE-GGA) on a geometry-optimized YSc2Rh structure.

Calculated values
Space group ... R3m (160)
Excess energy over the best structure of this formula in the dataset ... 1.17 eV per formula unit

```
YSc2Rh
1.0
1.7420 1.0057 9.2084
-1.7420 1.0057 9.2084
0.0000 -2.0115 9.2084
Y Sc Rh
1 2 1
direct
0.0000 0.0000 0.0000
0.5348 0.5348 0.5348
0.7694 0.7694 0.7694
0.2614 0.2614 0.2614
```


Entry 5:
VASP calculation (PBE-GGA) on a geometry-optimized CrGeCl2 structure.

Calculated values
Formation energy from raw total energies ... 452 meV/atom
Space group ... I-42d (122)
Excess energy over the best structure of this formula in the dataset ... 0.00 eV per formula unit

```
CrGeCl2
1.0
-3.0873 3.0873 4.8994
3.0873 -3.0873 4.8994
3.0873 3.0873 -4.8994
Cr Ge Cl
2 2 4
direct
0.0000 0.0000 0.0000
0.7500 0.2500 0.5000
0.2500 0.7500 0.5000
0.5000 0.5000 0.0000
0.0330 0.6250 0.9080
0.3750 0.2830 0.4080
0.7170 0.1250 0.0920
0.8750 0.9670 0.5920
```


Entry 6:
VASP calculation (PBE-GGA) on a geometry-optimized NbSeBr structure.

Calculated values
Formation energy from raw total energies ... -900 meV/atom
Space group ... P2_1/m (11)

```
NbSeBr
1.0
6.3282 0.0000 0.0000
0.0000 3.4758 0.0000
-0.0029 0.0000 6.9017
Nb Se Br
2 2 2
direct
0.1861 0.2500 0.0096
0.8139 0.7500 0.9904
0.0825 0.7500 0.2703
0.9175 0.2500 0.7297
0.4201 0.7500 0.7879
0.5799 0.2500 0.2121
```


Entry 7:
VASP calculation (PBE-GGA) on a geometry-optimized TiV3Fe structure.

Calculated values
Space group ... Pm-3m (221)
Excess energy over the best structure of this formula in the dataset ... 0.88 eV per formula unit

```
TiV3Fe
1.0
4.2995 0.0000 0.0000
0.0000 4.2995 0.0000
0.0000 0.0000 4.2995
Ti V Fe
1 3 1
direct
0.0000 0.0000 0.0000
0.0000 0.5000 0.5000
0.5000 0.0000 0.5000
0.5000 0.5000 0.0000
0.5000 0.5000 0.5000
```


Entry 8:
VASP calculation (PBE-GGA) on a geometry-optimized MgTe2Br structure.

Calculated values
Formation energy from raw total energies ... -375 meV/atom
Space group ... Pmm2 (25)
Excess energy over the best structure of this formula in the dataset ... 1.01 eV per formula unit

```
MgTe2Br
1.0
3.2549 0.0000 0.0000
0.0000 3.3139 0.0000
0.0000 0.0000 11.6838
Mg Te Br
1 2 1
direct
0.0000 0.0000 0.0000
0.0000 0.0000 0.5224
0.5000 0.5000 0.1845
0.5000 0.5000 0.8670
```


Entry 9:
VASP calculation (PBE-GGA) on a geometry-optimized MnGeBi2S6 structure.

Calculated values
Formation energy from raw total energies ... -307 meV/atom
Space group ... R3 (146)

```
MnGeBi2S6
1.0
3.3561 1.9377 5.9228
-3.3561 1.9377 5.9228
0.0000 -3.8753 5.9228
Mn Ge Bi S
1 1 2 6
direct
0.0000 0.0000 0.0000
0.5191 0.5191 0.5191
0.3098 0.3098 0.3098
0.7957 0.7957 0.7957
0.1334 0.7553 0.3270
0.2146 0.6604 0.8630
0.3270 0.1334 0.7553
0.6604 0.8630 0.2146
0.7553 0.3270 0.1334
0.8630 0.2146 0.6604
```


Entry 10:
VASP calculation (PBE-GGA) on a geometry-optimized RuPb2I structure.

Calculated values
Formation energy from raw total energies ... 816 meV/atom
Space group ... Fm-3m (225)
Excess energy over the best structure of this formula in the dataset ... 1.41 eV per formula unit

```
RuPb2I
1.0
0.0000 3.7847 3.7847
3.7847 0.0000 3.7847
3.7847 3.7847 0.0000
Ru Pb I
1 2 1
direct
0.0000 0.0000 0.0000
0.2500 0.2500 0.2500
0.7500 0.7500 0.7500
0.5000 0.5000 0.5000
```


Result set for N(E_F): 0.0000 1.4112 1.4272 1.1753 0.6472 0.5616 1.4832 0.3752 0.0851 1.2102 states/eV/atom, one per record in the order listed.
Result set for calculated density: 2.65 2.11 7.70 4.83 3.48 5.51 5.36 4.74 5.30 9.84 Mg/m³, one per record in the order listed.